Compound: NiPO2
Source: Alexandria
Functional: GGA+U
Structure: optimized geometry

Cell: 6.1661 6.1661 6.1661 Å, 28.10 28.10 28.10°
Last column: nearest neighbours and their distance in Å.
Atoms (fractional coordinates):
Ni1 0.0000 0.0000 0.0000  2 O 1.92
P1 0.5000 0.5000 0.5000  6 O 2.02
O1 0.1080 0.1080 0.1080  1 Ni 1.92, 3 P 2.02
O2 0.8920 0.8920 0.8920  1 Ni 1.92, 3 P 2.02

Computed properties:
- final energy (eV/atom) = -4.740